Computed, not measured: a relaxed ZrTa2OsCl crystal at the PBE-GGA level of DFT.

Output
* D(E_F): 5.2 states/eV/cell
* formation energy from raw total energies: 827.5 meV/atom
* magnetization: 0.0 μB per formula unit

a = 4.462 Å, b = 4.462 Å, c = 4.676 Å
α = 90.00°, β = 90.00°, γ = 90.00°
Space group P4/mmm (No. 123)
Unique sites:
Zr (0.000, 0.000, 0.000) [1 per cell]
Ta (0.000, 0.500, 0.500) [2 per cell]
Os (0.500, 0.500, 0.000) [1 per cell]
Cl (0.000, 0.000, 0.500) [1 per cell]